# 1
# PmAgAu (GGA-PBE, optimized geometry)
data_PmAgAu
_cell_length_a 3.834
_cell_length_b 3.834
_cell_length_c 9.316
_cell_angle_alpha 90.00
_cell_angle_beta 90.00
_cell_angle_gamma 90.00
_symmetry_space_group_name_H-M 'I 4 m m'
_symmetry_Int_Tables_number 107
_symmetry_space_group_name_Hall 'I 4 -2'
loop_
_atom_site_label
_atom_site_type_symbol
_atom_site_fract_x
_atom_site_fract_y
_atom_site_fract_z
Pm1 Pm 0.000 0.000 0.000
Ag1 Ag 0.000 0.000 0.326
Au1 Au 0.000 0.000 0.661
# Final energy (eV/atom): -4.18
# V (Å³/f.u.): 68
# E_form (eV/atom): -0.5516
# Relative energy among the computed polymorphs (eV/f.u.): 0.00


# 2
# Pm3AgAu3 (GGA-PBE, optimized geometry)
data_Pm3AgAu3
_cell_length_a 3.810
_cell_length_b 4.574
_cell_length_c 20.295
_cell_angle_alpha 90.00
_cell_angle_beta 90.00
_cell_angle_gamma 90.00
_symmetry_space_group_name_H-M 'I m m 2'
_symmetry_Int_Tables_number 44
loop_
_symmetry_equiv_pos_as_xyz
'x,y,z'
'-x,-y,z'
'-x,y,z'
'x,-y,z'
'x+1/2,y+1/2,z+1/2'
'-x+1/2,-y+1/2,z+1/2'
'-x+1/2,y+1/2,z+1/2'
'x+1/2,-y+1/2,z+1/2'
loop_
_atom_site_label
_atom_site_type_symbol
_atom_site_fract_x
_atom_site_fract_y
_atom_site_fract_z
Pm1 Pm 0.000 0.000 0.000
Pm2 Pm 0.000 0.000 0.374
Pm3 Pm 0.000 0.500 0.177
Ag1 Ag 0.000 0.500 0.753
Au1 Au 0.000 0.000 0.531
Au2 Au 0.000 0.000 0.839
Au3 Au 0.000 0.500 0.619
# Final energy (eV/atom): -4.51
# V (Å³/f.u.): 177
# E_form (eV/atom): -0.6650


Q: What is the formula in the first record?
A: PmAgAu


Copy entry 1 word for word.
# PmAgAu (GGA-PBE, optimized geometry)
data_PmAgAu
_cell_length_a 3.834
_cell_length_b 3.834
_cell_length_c 9.316
_cell_angle_alpha 90.00
_cell_angle_beta 90.00
_cell_angle_gamma 90.00
_symmetry_space_group_name_H-M 'I 4 m m'
_symmetry_Int_Tables_number 107
_symmetry_space_group_name_Hall 'I 4 -2'
loop_
_atom_site_label
_atom_site_type_symbol
_atom_site_fract_x
_atom_site_fract_y
_atom_site_fract_z
Pm1 Pm 0.000 0.000 0.000
Ag1 Ag 0.000 0.000 0.326
Au1 Au 0.000 0.000 0.661
# Final energy (eV/atom): -4.18
# V (Å³/f.u.): 68
# E_form (eV/atom): -0.5516
# Relative energy among the computed polymorphs (eV/f.u.): 0.00


Q: The lowest final energy belongs to which entry?
A: Pm3AgAu3


Q: Among the records above, which one has the lowest final energy?
A: Pm3AgAu3